Entry 1:
First-principles (PBE-GGA) data for a geometry-optimized PdRuS2N structure, as listed in the Alexandria database.

Calculated values
The value obtained for the energy above the most stable polymorph in this dataset is 0.000 eV/atom. For the uncorrected formation energy, the calculation gives 0.608 eV/atom.

Unit cell a=4.7766 b=4.7766 c=3.6143 alpha=90.00 beta=90.00 gamma=90.00
Space group P4/mmm (No. 123)
One atom of each set of equivalent atoms:
Pd  0.0000  0.0000  0.0000 (multiplicity 1)
Ru  0.5000  0.5000  0.5000 (multiplicity 1)
S  0.0000  0.5000  0.5000 (multiplicity 2)
N  0.5000  0.5000  0.0000 (multiplicity 1)

***

Entry 2:
First-principles (PBE-GGA) data for a geometry-optimized PdRuS2N structure, as listed in the Alexandria database.

Calculated values
The value obtained for the energy above the most stable polymorph in this dataset is 0.729 eV/atom. For the uncorrected formation energy, the calculation gives 1.337 eV/atom.

Unit cell a=4.8575 b=4.8575 c=3.6443 alpha=90.00 beta=90.00 gamma=90.00
Space group P4/mmm (No. 123)
One atom of each set of equivalent atoms:
Pd  0.0000  0.0000  0.0000 (multiplicity 1)
Ru  0.5000  0.5000  0.5000 (multiplicity 1)
S  0.0000  0.5000  0.0000 (multiplicity 2)
N  0.0000  0.0000  0.5000 (multiplicity 1)

***

Entry 3:
First-principles (PBE-GGA) data for a geometry-optimized PdRuSeN2 structure, as listed in the Alexandria database.

Calculated values
The value obtained for the energy above the most stable polymorph in this dataset is 1.012 eV/atom. For the uncorrected formation energy, the calculation gives 1.776 eV/atom.

Unit cell a=3.7238 b=3.7238 c=6.8184 alpha=90.00 beta=90.00 gamma=90.00
Space group P4/mmm (No. 123)
One atom of each set of equivalent atoms:
Pd  0.0000  0.0000  0.0000 (multiplicity 1)
Ru  0.5000  0.5000  0.5000 (multiplicity 1)
Se  0.0000  0.0000  0.5000 (multiplicity 1)
N  0.0000  0.5000  0.0000 (multiplicity 2)

***

Entry 4:
First-principles (PBE-GGA) data for a geometry-optimized PdRuSeN2 structure, as listed in the Alexandria database.

Calculated values
The value obtained for the energy above the most stable polymorph in this dataset is 0.000 eV/atom. For the uncorrected formation energy, the calculation gives 0.764 eV/atom.

Unit cell a=3.7391 b=3.7391 c=5.6146 alpha=90.00 beta=90.00 gamma=90.00
Space group P4/mmm (No. 123)
One atom of each set of equivalent atoms:
Pd  0.0000  0.0000  0.0000 (multiplicity 1)
Ru  0.5000  0.5000  0.5000 (multiplicity 1)
Se  0.5000  0.5000  0.0000 (multiplicity 1)
N  0.0000  0.5000  0.5000 (multiplicity 2)

***

Entry 5:
First-principles (PBE-GGA) data for a geometry-optimized PdRuSe2N structure, as listed in the Alexandria database.

Calculated values
The value obtained for the energy above the most stable polymorph in this dataset is 0.000 eV/atom. For the uncorrected formation energy, the calculation gives 0.492 eV/atom.

Unit cell a=5.0315 b=5.0315 c=3.6053 alpha=90.00 beta=90.00 gamma=90.00
Space group P4/mmm (No. 123)
One atom of each set of equivalent atoms:
Pd  0.0000  0.0000  0.0000 (multiplicity 1)
Ru  0.5000  0.5000  0.5000 (multiplicity 1)
Se  0.0000  0.5000  0.5000 (multiplicity 2)
N  0.5000  0.5000  0.0000 (multiplicity 1)

***

Entry 6:
First-principles (PBE-GGA) data for a geometry-optimized PdRuSe2N structure, as listed in the Alexandria database.

Calculated values
The value obtained for the energy above the most stable polymorph in this dataset is 0.720 eV/atom. For the uncorrected formation energy, the calculation gives 1.212 eV/atom.

Unit cell a=5.0742 b=5.0742 c=3.6257 alpha=90.00 beta=90.00 gamma=90.00
Space group P4/mmm (No. 123)
One atom of each set of equivalent atoms:
Pd  0.0000  0.0000  0.0000 (multiplicity 1)
Ru  0.5000  0.5000  0.5000 (multiplicity 1)
Se  0.0000  0.5000  0.0000 (multiplicity 2)
N  0.0000  0.0000  0.5000 (multiplicity 1)

***

Entry 7:
First-principles (PBE-GGA) data for a geometry-optimized SiPd2RuN structure, as listed in the Alexandria database.

Calculated values
For the uncorrected formation energy, the calculation gives 0.466 eV/atom.

Unit cell a=4.1490 b=4.1490 c=3.8388 alpha=90.00 beta=90.00 gamma=90.00
Space group P4/mmm (No. 123)
One atom of each set of equivalent atoms:
Si  0.0000  0.0000  0.0000 (multiplicity 1)
Pd  0.0000  0.5000  0.5000 (multiplicity 2)
Ru  0.5000  0.5000  0.0000 (multiplicity 1)
N  0.0000  0.0000  0.5000 (multiplicity 1)

***

Entry 8:
First-principles (PBE-GGA) data for a geometry-optimized Tc2PdRuN structure, as listed in the Alexandria database.

Calculated values
For the uncorrected formation energy, the calculation gives 0.112 eV/atom.

Unit cell a=4.0317 b=4.0317 c=4.0513 alpha=90.00 beta=90.00 gamma=90.00
Space group P4/mmm (No. 123)
One atom of each set of equivalent atoms:
Tc  0.0000  0.5000  0.0000 (multiplicity 2)
Pd  0.0000  0.0000  0.5000 (multiplicity 1)
Ru  0.5000  0.5000  0.5000 (multiplicity 1)
N  0.5000  0.5000  0.0000 (multiplicity 1)

***

Entry 9:
First-principles (PBE-GGA) data for a geometry-optimized TePdRuN2 structure, as listed in the Alexandria database.

Calculated values
The value obtained for the energy above the most stable polymorph in this dataset is 0.000 eV/atom. For the uncorrected formation energy, the calculation gives 0.709 eV/atom.

Unit cell a=3.7898 b=3.7898 c=5.8913 alpha=90.00 beta=90.00 gamma=90.00
Space group P4/mmm (No. 123)
One atom of each set of equivalent atoms:
Te  0.0000  0.0000  0.0000 (multiplicity 1)
Pd  0.5000  0.5000  0.0000 (multiplicity 1)
Ru  0.0000  0.0000  0.5000 (multiplicity 1)
N  0.0000  0.5000  0.5000 (multiplicity 2)

***

Entry 10:
First-principles (PBE-GGA) data for a geometry-optimized Te2PdRuN structure, as listed in the Alexandria database.

Calculated values
The value obtained for the energy above the most stable polymorph in this dataset is 0.000 eV/atom. For the uncorrected formation energy, the calculation gives 0.344 eV/atom.

Unit cell a=5.3712 b=5.3712 c=3.6018 alpha=90.00 beta=90.00 gamma=90.00
Space group P4/mmm (No. 123)
One atom of each set of equivalent atoms:
Te  0.0000  0.5000  0.0000 (multiplicity 2)
Pd  0.0000  0.0000  0.5000 (multiplicity 1)
Ru  0.5000  0.5000  0.0000 (multiplicity 1)
N  0.5000  0.5000  0.5000 (multiplicity 1)

***

Entry 11:
First-principles (PBE-GGA) data for a geometry-optimized TePdRuN2 structure, as listed in the Alexandria database.

Calculated values
The value obtained for the energy above the most stable polymorph in this dataset is 1.028 eV/atom. For the uncorrected formation energy, the calculation gives 1.737 eV/atom.

Unit cell a=3.8135 b=3.8135 c=6.6077 alpha=90.00 beta=90.00 gamma=90.00
Space group P4/mmm (No. 123)
One atom of each set of equivalent atoms:
Te  0.0000  0.0000  0.0000 (multiplicity 1)
Pd  0.0000  0.0000  0.5000 (multiplicity 1)
Ru  0.5000  0.5000  0.0000 (multiplicity 1)
N  0.0000  0.5000  0.5000 (multiplicity 2)

***

Entry 12:
First-principles (PBE-GGA) data for a geometry-optimized Te2PdRuN structure, as listed in the Alexandria database.

Calculated values
The value obtained for the energy above the most stable polymorph in this dataset is 0.739 eV/atom. For the uncorrected formation energy, the calculation gives 1.083 eV/atom.

Unit cell a=5.3780 b=5.3780 c=3.6249 alpha=90.00 beta=90.00 gamma=90.00
Space group P4/mmm (No. 123)
One atom of each set of equivalent atoms:
Te  0.0000  0.5000  0.0000 (multiplicity 2)
Pd  0.0000  0.0000  0.0000 (multiplicity 1)
Ru  0.5000  0.5000  0.5000 (multiplicity 1)
N  0.0000  0.0000  0.5000 (multiplicity 1)

***

Entry 13:
First-principles (PBE-GGA) data for a geometry-optimized TlPd2RuN structure, as listed in the Alexandria database.

Calculated values
For the uncorrected formation energy, the calculation gives 2.577 eV/atom.

Unit cell a=5.1167 b=5.1167 c=5.1446 alpha=90.00 beta=90.00 gamma=90.00
Space group P4/mmm (No. 123)
One atom of each set of equivalent atoms:
Tl  0.0000  0.0000  0.0000 (multiplicity 1)
Pd  0.0000  0.5000  0.0000 (multiplicity 2)
Ru  0.0000  0.0000  0.5000 (multiplicity 1)
N  0.5000  0.5000  0.5000 (multiplicity 1)

***

Entry 14:
First-principles (PBE-GGA) data for a geometry-optimized VPd2RuN structure, as listed in the Alexandria database.

Calculated values
For the uncorrected formation energy, the calculation gives 0.422 eV/atom.

Unit cell a=4.2261 b=4.2261 c=3.8736 alpha=90.00 beta=90.00 gamma=90.00
Space group P4/mmm (No. 123)
One atom of each set of equivalent atoms:
V  0.0000  0.0000  0.0000 (multiplicity 1)
Pd  0.0000  0.5000  0.5000 (multiplicity 2)
Ru  0.5000  0.5000  0.0000 (multiplicity 1)
N  0.5000  0.5000  0.5000 (multiplicity 1)

***

VASP energy, record by record: -28.01; -24.36; -25.72; -30.78; -27.31; -23.70; -31.08; -42.96; -30.72; -27.36; -25.57; -23.66; -17.47; -35.00 eV per cell